[1]
The following is a PBE calculation of a relaxed structure of Hf2TcH, from Alexandria via LeMat-Bulk.

a = 6.1843 Å, b = 6.1843 Å, c = 5.4433 Å
α = 55.38°, β = 55.38°, γ = 90.00°
Sites, in units of the cell vectors:
H: 0.5000 0.5000 0.0000
H: 0.2500 0.7500 0.5000
Hf: 0.5477 0.1250 0.2500
Hf: 0.2023 0.6250 0.2500
Hf: 0.3750 0.4523 0.7500
Hf: 0.8750 0.7977 0.7500
Tc: 0.0000 0.0000 0.0000
Tc: 0.7500 0.2500 0.5000

- Energy above the lowest structure with this stoichiometry: 98 meV per atom
- Symmetry: No. 122
- Size of the total moment: 0.000 μB per atom

***

[2]
The following is a PBE calculation of a relaxed structure of HfTi2TcH, from Alexandria via LeMat-Bulk.

a = 3.8581 Å, b = 3.8581 Å, c = 4.7777 Å
α = 90.00°, β = 90.00°, γ = 90.00°
Sites, in units of the cell vectors:
H: 0.0000 0.0000 0.0000
Hf: 0.0000 0.0000 0.5000
Tc: 0.5000 0.5000 0.5000
Ti: 0.0000 0.5000 0.0000
Ti: 0.5000 0.0000 0.0000

- Symmetry: No. 123
- Size of the total moment: 0.000 μB per atom

***

[3]
The following is a PBE calculation of a relaxed structure of Hf2TiTcH, from Alexandria via LeMat-Bulk.

a = 4.6138 Å, b = 4.6138 Å, c = 3.5512 Å
α = 90.00°, β = 90.00°, γ = 90.00°
Site moments in Bohr magnetons follow the coordinates.
Sites, in units of the cell vectors:
H: 0.0000 0.0000 0.0000  0.00
Hf: 0.0000 0.5000 0.0000  0.14
Hf: 0.5000 0.0000 0.0000  0.14
Tc: 0.5000 0.5000 0.5000  -0.02
Ti: 0.0000 0.0000 0.5000  0.58

- Symmetry: No. 123
- Size of the total moment: 0.215 μB per atom

***

Final energy / eV per cell: -67.7 -40.4 -42.6